Computed, not measured: a relaxed RbNaSiSe3 crystal at the PBE-GGA level of DFT.

```
RbNaSiSe3
1.0
4.5365 -4.8314 0.0000
4.5365 4.8314 0.0000
-1.0767 0.0000 9.7563
Rb Na Si Se
2 2 2 6
direct
0.2026 0.2026 0.1209
0.7974 0.7974 0.8791
0.2674 0.7326 0.5000
0.7326 0.2674 0.5000
0.1642 0.1642 0.7012
0.8358 0.8358 0.2988
0.0904 0.7030 0.2029
0.2608 0.2608 0.5053
0.2970 0.9096 0.7971
0.7030 0.0904 0.2029
0.7392 0.7392 0.4947
0.9096 0.2970 0.7971
```

## Properties
The density of states at the Fermi level comes out at 0.0 states/eV/f.u. As for the final energy: -3.865 eV/atom. The crystal system is monoclinic. As for the space group: C2/m (12).